# Cs3AgMo2O8 PBE+U optimized geometry
data_Cs3AgMo2O8
_chemical_formula_sum 'Cs3 Ag1 Mo2 O8'
_cell_length_a 6.4574
_cell_length_b 6.4574
_cell_length_c 8.3850
_cell_angle_alpha 90.00
_cell_angle_beta 90.00
_cell_angle_gamma 120.00
_space_group_name_H-M_alt 'P -3 m 1'
_space_group_IT_number 164
_space_group_name_Hall '-P 3 2"'
loop_
_atom_site_label
_atom_site_fract_x
_atom_site_fract_y
_atom_site_fract_z
Cs1 0.0000 0.0000 0.0000
Cs2 0.3333 0.6667 0.6688
Ag1 0.0000 0.0000 0.5000
Mo1 0.3333 0.6667 0.2322
O1 0.1814 0.3628 0.3068
O2 0.3333 0.6667 0.0197
# **Total moment**: 0.0 μB per cell
# **Electronic total energy**: -5.882 eV per atom